Model 1:
LaNdHo3 | Alexandria via LeMat-Bulk | PBE | optimized geometry; SG = Pnma (62)
1.0
9.606 0.000 0.000
0.000 7.390 0.000
0.000 0.000 9.600
La Nd Ho
4 4 12
Direct
0.000 0.000 0.000
0.000 0.500 0.000
0.500 0.000 0.500
0.500 0.500 0.500
0.174 0.250 0.327
0.326 0.750 0.827
0.674 0.250 0.173
0.826 0.750 0.673
0.122 0.001 0.623
0.122 0.499 0.623
0.173 0.750 0.327
0.327 0.250 0.827
0.378 0.501 0.123
0.378 0.999 0.123
0.622 0.001 0.877
0.622 0.499 0.877
0.673 0.750 0.173
0.827 0.250 0.673
0.878 0.501 0.377
0.878 0.999 0.377

***

Model 2:
LaNdHo3 | Alexandria via LeMat-Bulk | PBE | optimized geometry; SG = P-1 (2)
1.0
6.610 0.000 0.000
0.642 6.728 0.000
2.484 1.964 7.572
La Nd Ho
2 2 6
Direct
0.098 0.294 0.143
0.902 0.706 0.857
0.116 0.249 0.671
0.884 0.751 0.329
0.327 0.843 0.992
0.332 0.915 0.405
0.493 0.542 0.707
0.507 0.458 0.293
0.668 0.085 0.595
0.673 0.157 0.008

***

model 2 wins, 0.013 eV/atom ahead of the next structure.

***

Model 1:
La8Nd2Ho | Alexandria via LeMat-Bulk | PBE | optimized geometry; SG = C2/m (12)
1.0
4.654 -8.483 0.000
4.654 8.483 0.000
-3.410 0.000 5.066
La Nd Ho
8 2 1
Direct
0.096 0.331 0.683
0.205 0.795 0.000
0.331 0.096 0.683
0.419 0.419 0.201
0.581 0.581 0.799
0.669 0.904 0.317
0.795 0.205 0.000
0.904 0.669 0.317
0.309 0.691 0.500
0.691 0.309 0.500
0.000 0.000 0.000

***

Model 2:
La8Nd2Ho | Alexandria via LeMat-Bulk | PBE | optimized geometry; SG = C2/m (12)
1.0
9.424 -2.625 0.000
9.424 2.625 0.000
-2.167 0.000 7.986
La Nd Ho
8 2 1
Direct
0.046 0.046 0.228
0.136 0.136 0.681
0.319 0.319 0.588
0.410 0.410 0.048
0.590 0.590 0.952
0.681 0.681 0.412
0.864 0.864 0.319
0.954 0.954 0.772
0.226 0.226 0.136
0.774 0.774 0.864
0.500 0.500 0.500

***

model 2 wins, 0.106 eV/atom ahead of the next structure.

***

Model 1:
LaNd3Ho6 | Alexandria via LeMat-Bulk | PBE | optimized geometry; SG = R32 (155)
1.0
4.976 2.873 3.891
-4.976 2.873 3.891
0.000 -5.746 3.891
La Nd Ho
1 3 6
Direct
0.000 0.000 0.000
0.250 0.250 0.250
0.500 0.500 0.500
0.750 0.750 0.750
0.000 0.329 0.671
0.175 0.825 0.500
0.329 0.671 0.000
0.500 0.175 0.825
0.671 0.000 0.329
0.825 0.500 0.175

***

Model 2:
LaNd3Ho6 | Alexandria via LeMat-Bulk | PBE | optimized geometry; SG = Cmc2_1 (36)
1.0
4.785 -7.730 0.000
4.785 7.730 0.000
0.000 0.000 9.006
La Nd Ho
2 6 12
Direct
0.225 0.775 0.500
0.775 0.225 0.000
0.051 0.949 0.268
0.191 0.315 0.089
0.315 0.191 0.589
0.685 0.809 0.089
0.809 0.685 0.589
0.949 0.051 0.768
0.029 0.320 0.416
0.177 0.474 0.755
0.284 0.716 0.134
0.320 0.029 0.916
0.450 0.550 0.401
0.474 0.177 0.255
0.526 0.823 0.755
0.550 0.450 0.901
0.680 0.971 0.416
0.716 0.284 0.634
0.823 0.526 0.255
0.971 0.680 0.916

***

model 2 wins, 0.169 eV/atom ahead of the next structure.